This record from Alexandria describes a geometry-optimized YTa structure. The functional is PBE-GGA.

abc: 8.3321 8.3321 8.3321
angles: 90.00 90.00 90.00
Space group Pm-3n (No. 223)
Inequivalent atoms, fractional coordinates:
Y  0.0000  0.2500  0.5000 x6
Ta  0.0000  0.5000  0.2500 x6

Results
calculated formation energy: 68.3 kcal/mol of atoms
magnetic moment: 3.3 μB per formula unit
energy relative to the lowest polymorph listed for this composition: 536.5 kJ/mol of formula units